Model A:
# LaAgAu4 (GGA-PBE, optimized geometry)
data_LaAgAu4
_space_group_name_H-M_alt 'F -4 3 m'
_space_group_IT_number 216
_space_group_name_Hall 'F -4 2 3'
_cell_length_a 7.954
_cell_length_b 7.954
_cell_length_c 7.954
_cell_angle_alpha 90.00
_cell_angle_beta 90.00
_cell_angle_gamma 90.00
loop_
_atom_site_label
_atom_site_fract_x
_atom_site_fract_y
_atom_site_fract_z
_atom_site_occupancy
La1 0.000 0.000 0.000 1
Ag1 0.250 0.250 0.750 1
Au1 0.124 0.124 0.376 1
# Crystal system   cubic
# DOS at the Fermi energy   19.49 states/eV/cell
# Theoretical density   13.7 g cm⁻³

---

Model B:
# LaAgAu4 (GGA-PBE, optimized geometry)
data_LaAgAu4
_space_group_name_H-M_alt 'P 6/m m m'
_space_group_IT_number 191
_space_group_name_Hall '-P 6 2'
_cell_length_a 4.7607
_cell_length_b 4.7607
_cell_length_c 6.6357
_cell_angle_alpha 90.00
_cell_angle_beta 90.00
_cell_angle_gamma 120.00
loop_
_atom_site_label
_atom_site_fract_x
_atom_site_fract_y
_atom_site_fract_z
_atom_site_occupancy
La1 0.0000 0.0000 0.0000 1
Ag1 0.0000 0.0000 0.5000 1
Au1 0.3333 0.6667 0.2769 1
# Crystal system   hexagonal
# DOS at the Fermi energy   1.89 states/eV/cell
# Theoretical density   13.2 g cm⁻³

---

Need the numbers? Relative energies in kJ/mol of atoms: model A 0.0; model B 1.1.

---

Model A:
# LaAgAu3 (GGA-PBE, optimized geometry)
data_LaAgAu3
_space_group_name_H-M_alt 'P 1 21/m 1'
_space_group_IT_number 11
_space_group_name_Hall '-P 2yb'
_cell_length_a 5.358
_cell_length_b 6.216
_cell_length_c 7.137
_cell_angle_alpha 90.00
_cell_angle_beta 107.92
_cell_angle_gamma 90.00
loop_
_atom_site_label
_atom_site_fract_x
_atom_site_fract_y
_atom_site_fract_z
_atom_site_occupancy
La1 0.239 0.250 0.249 1
Ag1 0.379 0.750 0.020 1
Au1 0.231 0.021 0.686 1
Au2 0.262 0.750 0.368 1
# Crystal system   monoclinic
# DOS at the Fermi energy   5.22 states/eV/cell
# Theoretical density   12.3 g cm⁻³

---

Model B:
# LaAgAu3 (GGA-PBE, optimized geometry)
data_LaAgAu3
_space_group_name_H-M_alt 'P m -3 m'
_space_group_IT_number 221
_space_group_name_Hall '-P 4 2 3'
_cell_length_a 5.089
_cell_length_b 5.089
_cell_length_c 5.089
_cell_angle_alpha 90.00
_cell_angle_beta 90.00
_cell_angle_gamma 90.00
loop_
_atom_site_label
_atom_site_fract_x
_atom_site_fract_y
_atom_site_fract_z
_atom_site_occupancy
La1 0.000 0.000 0.000 1
Ag1 0.500 0.500 0.500 1
Au1 0.000 0.500 0.500 1
# Crystal system   cubic
# DOS at the Fermi energy   2.65 states/eV/cell
# Theoretical density   10.6 g cm⁻³

---

Model C:
# LaAgAu3 (GGA-PBE, optimized geometry)
data_LaAgAu3
_space_group_name_H-M_alt 'P m -3 m'
_space_group_IT_number 221
_space_group_name_Hall '-P 4 2 3'
_cell_length_a 5.637
_cell_length_b 5.637
_cell_length_c 5.637
_cell_angle_alpha 90.00
_cell_angle_beta 90.00
_cell_angle_gamma 90.00
loop_
_atom_site_label
_atom_site_fract_x
_atom_site_fract_y
_atom_site_fract_z
_atom_site_occupancy
La1 0.000 0.000 0.000 1
Ag1 0.500 0.500 0.500 1
Au1 0.000 0.000 0.500 1
# Crystal system   cubic
# DOS at the Fermi energy   1.81 states/eV/cell
# Theoretical density   7.8 g cm⁻³

---

Need the numbers? Relative energies in kJ/mol of atoms: model A 0.0; model B 41.1; model C 90.2.

---

Model A:
# LaPmAgAu (GGA-PBE, optimized geometry)
data_LaPmAgAu
_space_group_name_H-M_alt 'A m m 2'
_space_group_IT_number 38
_space_group_name_Hall 'A 2 -2'
_cell_length_a 4.872
_cell_length_b 3.930
_cell_length_c 11.424
_cell_angle_alpha 90.00
_cell_angle_beta 90.00
_cell_angle_gamma 90.00
loop_
_atom_site_label
_atom_site_fract_x
_atom_site_fract_y
_atom_site_fract_z
_atom_site_occupancy
La1 0.000 0.000 0.000 1
Pm1 0.500 0.000 0.723 1
Ag1 0.500 0.000 0.442 1
Au1 0.000 0.000 0.278 1
# Crystal system   orthorhombic
# DOS at the Fermi energy   6.67 states/eV/cell
# Theoretical density   8.9 g cm⁻³

---

Model B:
# LaPmAgAu (GGA-PBE, optimized geometry)
data_LaPmAgAu
_space_group_name_H-M_alt 'F -4 3 m'
_space_group_IT_number 216
_space_group_name_Hall 'F -4 2 3'
_cell_length_a 7.511
_cell_length_b 7.511
_cell_length_c 7.511
_cell_angle_alpha 90.00
_cell_angle_beta 90.00
_cell_angle_gamma 90.00
loop_
_atom_site_label
_atom_site_fract_x
_atom_site_fract_y
_atom_site_fract_z
_atom_site_occupancy
La1 0.000 0.000 0.000 1
Pm1 0.000 0.000 0.500 1
Ag1 0.250 0.250 0.750 1
Au1 0.250 0.250 0.250 1
# Crystal system   cubic
# DOS at the Fermi energy   15.94 states/eV/cell
# Theoretical density   9.2 g cm⁻³

---

Need the numbers? Relative energies in kJ/mol of atoms: model A 0.0; model B 1.6.

---

Model A:
# LaTbAgAu (GGA-PBE, optimized geometry)
data_LaTbAgAu
_space_group_name_H-M_alt 'P 4 m m'
_space_group_IT_number 99
_space_group_name_Hall 'P 4 -2'
_cell_length_a 3.673
_cell_length_b 3.673
_cell_length_c 7.591
_cell_angle_alpha 90.00
_cell_angle_beta 90.00
_cell_angle_gamma 90.00
loop_
_atom_site_label
_atom_site_fract_x
_atom_site_fract_y
_atom_site_fract_z
_atom_site_occupancy
La1 0.000 0.000 0.000 1
Tb1 0.000 0.000 0.488 1
Ag1 0.500 0.500 0.719 1
Au1 0.500 0.500 0.271 1
# Crystal system   tetragonal
# DOS at the Fermi energy   2.19 states/eV/cell
# Theoretical density   9.8 g cm⁻³

---

Model B:
# LaTbAgAu (GGA-PBE, optimized geometry)
data_LaTbAgAu
_space_group_name_H-M_alt 'F -4 3 m'
_space_group_IT_number 216
_space_group_name_Hall 'F -4 2 3'
_cell_length_a 7.442
_cell_length_b 7.442
_cell_length_c 7.442
_cell_angle_alpha 90.00
_cell_angle_beta 90.00
_cell_angle_gamma 90.00
loop_
_atom_site_label
_atom_site_fract_x
_atom_site_fract_y
_atom_site_fract_z
_atom_site_occupancy
La1 0.000 0.000 0.000 1
Tb1 0.000 0.000 0.500 1
Ag1 0.250 0.250 0.750 1
Au1 0.250 0.250 0.250 1
# Crystal system   cubic
# DOS at the Fermi energy   16.84 states/eV/cell
# Theoretical density   9.7 g cm⁻³

---

Need the numbers? Relative energies in kJ/mol of atoms: model A 0.0; model B 3.1.

---

Model A:
# LaTmAgAu (GGA-PBE, optimized geometry)
data_LaTmAgAu
_space_group_name_H-M_alt 'P 4 m m'
_space_group_IT_number 99
_space_group_name_Hall 'P 4 -2'
_cell_length_a 3.620
_cell_length_b 3.620
_cell_length_c 7.598
_cell_angle_alpha 90.00
_cell_angle_beta 90.00
_cell_angle_gamma 90.00
loop_
_atom_site_label
_atom_site_fract_x
_atom_site_fract_y
_atom_site_fract_z
_atom_site_occupancy
La1 0.000 0.000 0.000 1
Tm1 0.000 0.000 0.487 1
Ag1 0.500 0.500 0.713 1
Au1 0.500 0.500 0.278 1
# Crystal system   tetragonal
# DOS at the Fermi energy   1.79 states/eV/cell
# Theoretical density   10.2 g cm⁻³

---

Model B:
# LaTmAgAu (GGA-PBE, optimized geometry)
data_LaTmAgAu
_space_group_name_H-M_alt 'F -4 3 m'
_space_group_IT_number 216
_space_group_name_Hall 'F -4 2 3'
_cell_length_a 7.389
_cell_length_b 7.389
_cell_length_c 7.389
_cell_angle_alpha 90.00
_cell_angle_beta 90.00
_cell_angle_gamma 90.00
loop_
_atom_site_label
_atom_site_fract_x
_atom_site_fract_y
_atom_site_fract_z
_atom_site_occupancy
La1 0.000 0.000 0.000 1
Tm1 0.000 0.000 0.500 1
Ag1 0.250 0.250 0.250 1
Au1 0.250 0.250 0.750 1
# Crystal system   cubic
# DOS at the Fermi energy   16.99 states/eV/cell
# Theoretical density   10.1 g cm⁻³

---

Need the numbers? Relative energies in kJ/mol of atoms: model A 0.0; model B 4.5.

---

Model A:
# LaYAgAu (GGA-PBE, optimized geometry)
data_LaYAgAu
_space_group_name_H-M_alt 'F -4 3 m'
_space_group_IT_number 216
_space_group_name_Hall 'F -4 2 3'
_cell_length_a 7.438
_cell_length_b 7.438
_cell_length_c 7.438
_cell_angle_alpha 90.00
_cell_angle_beta 90.00
_cell_angle_gamma 90.00
loop_
_atom_site_label
_atom_site_fract_x
_atom_site_fract_y
_atom_site_fract_z
_atom_site_occupancy
La1 0.000 0.000 0.000 1
Y1 0.000 0.000 0.500 1
Ag1 0.250 0.250 0.250 1
Au1 0.250 0.250 0.750 1
# Crystal system   cubic
# DOS at the Fermi energy   17.03 states/eV/cell
# Theoretical density   8.6 g cm⁻³

---

Model B:
# LaYAgAu (GGA-PBE, optimized geometry)
data_LaYAgAu
_space_group_name_H-M_alt 'A m m 2'
_space_group_IT_number 38
_space_group_name_Hall 'A 2 -2'
_cell_length_a 4.834
_cell_length_b 3.865
_cell_length_c 11.319
_cell_angle_alpha 90.00
_cell_angle_beta 90.00
_cell_angle_gamma 90.00
loop_
_atom_site_label
_atom_site_fract_x
_atom_site_fract_y
_atom_site_fract_z
_atom_site_occupancy
La1 0.000 0.000 0.000 1
Y1 0.500 0.000 0.722 1
Ag1 0.500 0.000 0.440 1
Au1 0.000 0.000 0.275 1
# Crystal system   orthorhombic
# DOS at the Fermi energy   5.90 states/eV/cell
# Theoretical density   8.4 g cm⁻³

---

Need the numbers? Relative energies in kJ/mol of atoms: model A 1.4; model B 0.0.

---

Model A:
# Li8AgAu2 (GGA-PBE, optimized geometry)
data_Li8AgAu2
_space_group_name_H-M_alt 'C 1 2/m 1'
_space_group_IT_number 12
_space_group_name_Hall '-C 2y'
_cell_length_a 13.875
_cell_length_b 4.249
_cell_length_c 6.635
_cell_angle_alpha 90.00
_cell_angle_beta 112.78
_cell_angle_gamma 90.00
loop_
_atom_site_label
_atom_site_fract_x
_atom_site_fract_y
_atom_site_fract_z
_atom_site_occupancy
Li1 0.038 0.000 0.233 1
Li2 0.111 0.500 0.952 1
Li3 0.151 0.000 0.708 1
Li4 0.178 0.500 0.405 1
Ag1 0.000 0.500 0.500 1
Au1 0.214 0.000 0.161 1
# Crystal system   monoclinic
# DOS at the Fermi energy   5.94 states/eV/cell
# Theoretical density   5.1 g cm⁻³

---

Model B:
# Li8AgAu2 (GGA-PBE, optimized geometry)
data_Li8AgAu2
_space_group_name_H-M_alt 'C 1 2/m 1'
_space_group_IT_number 12
_space_group_name_Hall '-C 2y'
_cell_length_a 7.571
_cell_length_b 11.878
_cell_length_c 4.677
_cell_angle_alpha 90.00
_cell_angle_beta 107.83
_cell_angle_gamma 90.00
loop_
_atom_site_label
_atom_site_fract_x
_atom_site_fract_y
_atom_site_fract_z
_atom_site_occupancy
Li1 0.000 0.229 0.000 1
Li2 0.124 0.500 0.816 1
Li3 0.192 0.121 0.596 1
Ag1 0.000 0.000 0.000 1
Au1 0.000 0.317 0.500 1
# Crystal system   monoclinic
# DOS at the Fermi energy   4.16 states/eV/cell
# Theoretical density   4.6 g cm⁻³

---

Need the numbers? Relative energies in kJ/mol of atoms: model A 0.0; model B 5.0.

---

Model A:
# LiAgAu (GGA-PBE, optimized geometry)
data_LiAgAu
_space_group_name_H-M_alt 'P -1'
_space_group_IT_number 2
_space_group_name_Hall '-P 1'
_cell_length_a 4.117
_cell_length_b 4.942
_cell_length_c 5.662
_cell_angle_alpha 74.01
_cell_angle_beta 89.84
_cell_angle_gamma 65.60
loop_
_atom_site_label
_atom_site_fract_x
_atom_site_fract_y
_atom_site_fract_z
_atom_site_occupancy
Li1 0.162 0.176 0.320 1
Ag1 0.500 0.500 0.000 1
Ag2 0.500 0.500 0.500 1
Au1 0.170 0.160 0.819 1
# Crystal system   triclinic
# DOS at the Fermi energy   1.61 states/eV/cell
# Theoretical density   10.3 g cm⁻³

---

Model B:
# LiAgAu (GGA-PBE, optimized geometry)
data_LiAgAu
_space_group_name_H-M_alt 'I m m 2'
_space_group_IT_number 44
_space_group_name_Hall 'I 2 -2'
_cell_length_a 2.852
_cell_length_b 4.058
_cell_length_c 8.686
_cell_angle_alpha 90.00
_cell_angle_beta 90.00
_cell_angle_gamma 90.00
loop_
_atom_site_label
_atom_site_fract_x
_atom_site_fract_y
_atom_site_fract_z
_atom_site_occupancy
Li1 0.000 0.000 0.000 1
Ag1 0.000 0.000 0.668 1
Au1 0.000 0.000 0.343 1
# Crystal system   orthorhombic
# DOS at the Fermi energy   2.50 states/eV/cell
# Theoretical density   10.3 g cm⁻³

---

Model C:
# LiAgAu (GGA-PBE, optimized geometry)
data_LiAgAu
_space_group_name_H-M_alt 'P 63/m m c'
_space_group_IT_number 194
_space_group_name_Hall '-P 6c 2c'
_cell_length_a 4.5294
_cell_length_b 4.5294
_cell_length_c 5.5993
_cell_angle_alpha 90.00
_cell_angle_beta 90.00
_cell_angle_gamma 120.00
loop_
_atom_site_label
_atom_site_fract_x
_atom_site_fract_y
_atom_site_fract_z
_atom_site_occupancy
Li1 0.3333 0.6667 0.2500 1
Ag1 0.0000 0.0000 0.0000 1
Au1 0.3333 0.6667 0.7500 1
# Crystal system   hexagonal
# DOS at the Fermi energy   1.28 states/eV/cell
# Theoretical density   10.4 g cm⁻³

---

Model D:
# LiAgAu (GGA-PBE, optimized geometry)
data_LiAgAu
_space_group_name_H-M_alt 'P 3 m 1'
_space_group_IT_number 156
_space_group_name_Hall 'P 3 -2"'
_cell_length_a 2.9159
_cell_length_b 2.9159
_cell_length_c 6.8428
_cell_angle_alpha 90.00
_cell_angle_beta 90.00
_cell_angle_gamma 120.00
loop_
_atom_site_label
_atom_site_fract_x
_atom_site_fract_y
_atom_site_fract_z
_atom_site_occupancy
Li1 0.0000 0.0000 0.0000 1
Ag1 0.6667 0.3333 0.3249 1
Au1 0.3333 0.6667 0.6920 1
# Crystal system   trigonal
# DOS at the Fermi energy   1.60 states/eV/cell
# Theoretical density   10.3 g cm⁻³

---

Need the numbers? Relative energies in kJ/mol of atoms: model A 0.5; model B 2.1; model C 0.0; model D 10.3.